Arrangement one

! meta-GGA SCAN Co2IrRh, single point on PBEsol structure; values from VASP
&SYSTEM
  ibrav = 0, nat = 4, ntyp = 3
/
ATOMIC_SPECIES
Co 58.93 Co.upf
Ir 192.22 Ir.upf
Rh 102.91 Rh.upf
CELL_PARAMETERS angstrom
2.607 -3.533 0.000
2.607 3.533 0.000
0.000 0.000 2.608
ATOMIC_POSITIONS angstrom
Co 1.303 1.767 0.000
Co 1.303 -1.767 0.000
Ir 0.000 0.000 1.304
Rh 2.607 0.000 1.304
! - Volume: 48.04 Å³/cell
! - Fermi-level density of states: 1.098 states/eV/atom
! - Total magnetic moment: 5.3 μB/cell

---

Arrangement two

! meta-GGA SCAN Co2IrRh, single point on PBEsol structure; values from VASP
&SYSTEM
  ibrav = 0, nat = 4, ntyp = 3
/
ATOMIC_SPECIES
Co 58.93 Co.upf
Ir 192.22 Ir.upf
Rh 102.91 Rh.upf
CELL_PARAMETERS angstrom
4.277 -1.309 0.000
4.277 1.309 0.000
-0.831 0.000 4.306
ATOMIC_POSITIONS angstrom
Co 0.000 0.000 0.000
Co 6.162 0.000 1.035
Ir 3.812 0.000 2.093
Rh 1.493 0.000 3.233
! - Volume: 48.21 Å³/cell
! - Fermi-level density of states: 1.213 states/eV/atom
! - Total magnetic moment: 4.4 μB/cell

---

arrangement two is favored, and the nearest alternative lies 6 meV per atom above it.

---

Arrangement one

! meta-GGA SCAN Co2IrRh, single point on PBEsol structure; values from VASP
&SYSTEM
  ibrav = 0, nat = 4, ntyp = 3
/
ATOMIC_SPECIES
Co 58.93 Co.upf
Ir 192.22 Ir.upf
Rh 102.91 Rh.upf
CELL_PARAMETERS angstrom
2.633 0.000 0.000
0.000 2.633 0.000
0.000 0.000 7.011
ATOMIC_POSITIONS angstrom
Co 0.000 0.000 0.000
Co 1.316 1.316 1.545
Ir 0.000 0.000 3.322
Rh 1.316 1.316 5.233
! - Volume: 48.60 Å³/cell
! - Fermi-level density of states: 1.047 states/eV/atom
! - Total magnetic moment: 4.1 μB/cell

---

Arrangement two

! meta-GGA SCAN Co2IrRh, single point on PBEsol structure; values from VASP
&SYSTEM
  ibrav = 0, nat = 4, ntyp = 3
/
ATOMIC_SPECIES
Co 58.93 Co.upf
Ir 192.22 Ir.upf
Rh 102.91 Rh.upf
CELL_PARAMETERS angstrom
1.310 0.756 8.287
-1.310 0.756 8.287
0.000 -1.512 8.287
ATOMIC_POSITIONS angstrom
Co 0.000 0.000 0.000
Co 0.000 0.000 6.401
Ir 0.000 0.000 18.654
Rh 0.000 0.000 12.611
! - Volume: 49.23 Å³/cell
! - Fermi-level density of states: 1.097 states/eV/atom
! - Total magnetic moment: 4.1 μB/cell

---

arrangement one is favored, and the nearest alternative lies 16 meV per atom above it.

---

Arrangement one

! meta-GGA SCAN CoSb2Ir, single point on PBEsol structure; values from VASP
&SYSTEM
  ibrav = 0, nat = 4, ntyp = 3
/
ATOMIC_SPECIES
Co 58.93 Co.upf
Sb 121.76 Sb.upf
Ir 192.22 Ir.upf
CELL_PARAMETERS angstrom
0.000 3.289 3.289
3.289 0.000 3.289
3.289 3.289 0.000
ATOMIC_POSITIONS angstrom
Co 0.000 0.000 0.000
Sb 1.645 1.645 1.645
Sb 3.289 3.289 3.289
Ir 4.934 4.934 4.934
! - Volume: 71.18 Å³/cell
! - Fermi-level density of states: 0.788 states/eV/atom
! - Total magnetic moment: 2.1 μB/cell

---

Arrangement two

! meta-GGA SCAN CoSb2Ir, single point on PBEsol structure; values from VASP
&SYSTEM
  ibrav = 0, nat = 8, ntyp = 3
/
ATOMIC_SPECIES
Co 58.93 Co.upf
Sb 121.76 Sb.upf
Ir 192.22 Ir.upf
CELL_PARAMETERS angstrom
-2.790 2.790 5.963
2.790 -2.790 5.963
2.790 2.790 -5.963
ATOMIC_POSITIONS angstrom
Co 0.000 0.000 0.000
Co 0.000 2.790 2.981
Sb 4.186 1.281 -1.491
Sb 1.281 1.395 1.491
Sb -1.395 1.509 4.472
Sb 1.509 1.395 7.454
Ir 2.790 0.000 2.981
Ir 0.000 0.000 5.963
! - Volume: 185.72 Å³/cell
! - Fermi-level density of states: 0.696 states/eV/atom
! - Total magnetic moment: 0.0 μB/cell

---

arrangement two is favored, and the nearest alternative lies 426 meV per atom above it.

---

Arrangement one

! meta-GGA SCAN CoSb2Ir, single point on PBEsol structure; values from VASP
&SYSTEM
  ibrav = 0, nat = 4, ntyp = 3
/
ATOMIC_SPECIES
Co 58.93 Co.upf
Sb 121.76 Sb.upf
Ir 192.22 Ir.upf
CELL_PARAMETERS angstrom
3.934 0.000 0.000
-1.967 3.407 0.000
0.000 0.000 5.293
ATOMIC_POSITIONS angstrom
Co 0.000 0.000 0.000
Sb 0.000 2.271 4.058
Sb 1.967 1.136 1.235
Ir 0.000 0.000 2.646
! - Volume: 70.92 Å³/cell
! - Fermi-level density of states: 0.492 states/eV/atom
! - Total magnetic moment: 0.0 μB/cell

---

Arrangement two

! meta-GGA SCAN CoSb2Ir, single point on PBEsol structure; values from VASP
&SYSTEM
  ibrav = 0, nat = 4, ntyp = 3
/
ATOMIC_SPECIES
Co 58.93 Co.upf
Sb 121.76 Sb.upf
Ir 192.22 Ir.upf
CELL_PARAMETERS angstrom
0.000 3.238 3.238
3.238 0.000 3.238
3.238 3.238 0.000
ATOMIC_POSITIONS angstrom
Co 0.000 0.000 0.000
Sb 1.619 1.619 1.619
Sb 4.858 4.858 4.858
Ir 3.238 3.238 3.238
! - Volume: 67.93 Å³/cell
! - Fermi-level density of states: 0.607 states/eV/atom
! - Total magnetic moment: 2.0 μB/cell

---

arrangement one is favored, and the nearest alternative lies 495 meV per atom above it.

---

Arrangement one

! meta-GGA SCAN ScCoIr, single point on PBEsol structure; values from VASP
&SYSTEM
  ibrav = 0, nat = 3, ntyp = 3
/
ATOMIC_SPECIES
Sc 44.96 Sc.upf
Co 58.93 Co.upf
Ir 192.22 Ir.upf
CELL_PARAMETERS angstrom
-1.409 1.409 5.499
1.409 -1.409 5.499
1.409 1.409 -5.499
ATOMIC_POSITIONS angstrom
Sc 0.000 0.000 0.000
Co 0.000 0.000 7.449
Ir 0.000 0.000 3.482
! - Volume: 43.66 Å³/cell
! - Fermi-level density of states: 0.884 states/eV/atom
! - Total magnetic moment: 1.9 μB/cell

---

Arrangement two

! meta-GGA SCAN ScCoIr, single point on PBEsol structure; values from VASP
&SYSTEM
  ibrav = 0, nat = 3, ntyp = 3
/
ATOMIC_SPECIES
Sc 44.96 Sc.upf
Co 58.93 Co.upf
Ir 192.22 Ir.upf
CELL_PARAMETERS angstrom
-1.451 1.771 4.290
1.451 -1.771 4.290
1.451 1.771 -4.290
ATOMIC_POSITIONS angstrom
Sc 0.000 0.000 0.000
Co 0.000 0.000 5.852
Ir 0.000 0.000 2.757
! - Volume: 44.09 Å³/cell
! - Fermi-level density of states: 0.769 states/eV/atom
! - Total magnetic moment: 2.2 μB/cell

---

arrangement two is favored, and the nearest alternative lies 142 meV per atom above it.

---

Arrangement one

! meta-GGA SCAN Sc2CoIr, single point on PBEsol structure; values from VASP
&SYSTEM
  ibrav = 0, nat = 4, ntyp = 3
/
ATOMIC_SPECIES
Sc 44.96 Sc.upf
Co 58.93 Co.upf
Ir 192.22 Ir.upf
CELL_PARAMETERS angstrom
0.000 3.140 3.140
3.140 0.000 3.140
3.140 3.140 0.000
ATOMIC_POSITIONS angstrom
Sc 1.570 1.570 1.570
Sc 4.710 4.710 4.710
Co 0.000 0.000 0.000
Ir 3.140 3.140 3.140
! - Volume: 61.91 Å³/cell
! - Fermi-level density of states: 0.375 states/eV/atom
! - Total magnetic moment: 0.5 μB/cell

---

Arrangement two

! meta-GGA SCAN Sc2CoIr, single point on PBEsol structure; values from VASP
&SYSTEM
  ibrav = 0, nat = 4, ntyp = 3
/
ATOMIC_SPECIES
Sc 44.96 Sc.upf
Co 58.93 Co.upf
Ir 192.22 Ir.upf
CELL_PARAMETERS angstrom
3.136 0.000 0.000
0.000 3.136 0.000
0.000 0.000 6.279
ATOMIC_POSITIONS angstrom
Sc 0.000 0.000 1.517
Sc 0.000 0.000 4.762
Co 1.568 1.568 0.000
Ir 1.568 1.568 3.140
! - Volume: 61.74 Å³/cell
! - Fermi-level density of states: 0.275 states/eV/atom
! - Total magnetic moment: 0.3 μB/cell

---

arrangement one is favored, and the nearest alternative lies 38 meV per atom above it.